meta-GGA SCAN Sc5Bi3, single point on PBEsol structure; total DFT energy (no corrections) = -1250.49 eV per cell; total magnetic moment = 0.01 μB per formula unit; SG = No. 62
1.0
11.171 0.000 0.000
0.000 8.865 0.000
0.000 0.000 7.717
Sc Bi
20 12
Direct
0.006 0.250 0.020
0.063 0.064 0.694
0.063 0.436 0.694
0.214 0.750 0.338
0.230 0.250 0.324
0.270 0.750 0.824
0.286 0.250 0.838
0.437 0.564 0.194
0.437 0.936 0.194
0.494 0.750 0.520
0.506 0.250 0.480
0.563 0.064 0.806
0.563 0.436 0.806
0.714 0.750 0.162
0.730 0.250 0.176
0.770 0.750 0.676
0.786 0.250 0.662
0.937 0.564 0.306
0.937 0.936 0.306
0.994 0.750 0.980
0.027 0.750 0.599
0.176 0.509 0.064
0.176 0.991 0.064
0.324 0.009 0.564
0.324 0.491 0.564
0.473 0.250 0.099
0.527 0.750 0.901
0.676 0.509 0.436
0.676 0.991 0.436
0.824 0.009 0.936
0.824 0.491 0.936
0.973 0.250 0.401